Entry 1:
Computed, not measured: a relaxed structure of HfTiSi at the PBE-GGA level of DFT.

Structure (extended XYZ):
```
6
Lattice="4.780 -1.981 0.000 4.780 1.981 0.000 -0.346 0.000 5.541" Properties=species:S:1:pos:R:3 pbc="T T T"
Hf 0.000 0.000 0.000
Hf 6.649 0.000 1.525
Ti -0.014 0.000 2.832
Ti 2.716 0.000 4.121
Si 3.686 0.000 1.501
Si 5.830 0.000 4.248
```

Values from the calculation:
* ρ: 8.05 Mg/m³
* crystal system: monoclinic
* density of states at the Fermi level: 6.8 states/eV per cell
* symmetry: Cm
* E_form (uncorrected): -0.510 eV per atom



Entry 2:
Computed, not measured: a relaxed structure of AcGdCoIr at the PBE-GGA level of DFT.

Structure (extended XYZ):
```
4
Lattice="0.000 3.565 3.565 3.565 0.000 3.565 3.565 3.565 0.000" Properties=species:S:1:pos:R:3 pbc="T T T"
Ac 0.000 0.000 0.000
Gd 3.565 3.565 3.565
Co 1.783 1.783 1.783
Ir 5.348 5.348 5.348
```

Values from the calculation:
* ρ: 11.64 Mg/m³
* crystal system: cubic
* E_tot: -35.11 eV per cell
* density of states at the Fermi level: 1.9 states/eV per cell
* symmetry: F-43m



Entry 3:
Computed, not measured: a relaxed structure of ZrV2Fe2 at the PBE-GGA level of DFT.

Structure (extended XYZ):
```
10
Lattice="7.145 0.000 0.000 0.000 7.145 0.000 0.000 0.000 2.699" Properties=species:S:1:pos:R:3 pbc="T T T"
Zr 0.000 0.000 0.000
Zr 3.572 3.572 0.000
V 1.036 2.536 0.000
V 2.536 6.108 0.000
V 4.609 1.036 0.000
V 6.108 4.609 0.000
Fe 1.025 4.598 1.349
Fe 2.547 1.025 1.349
Fe 4.598 6.120 1.349
Fe 6.120 2.547 1.349
```

Values from the calculation:
* ρ: 7.35 Mg/m³
* crystal system: tetragonal
* energy above the most stable polymorph in this dataset: 60 meV per atom
* density of states at the Fermi level: 12.6 states/eV per cell
* symmetry: P4/mbm